Zn2Cd3Au7, relaxed, DFT GGA-PBE; SG = Cmmm, No. 65; energy above the lowest structure with this stoichiometry = 38 meV/atom
1.0
-0.298 -2.490 -4.186
3.434 -2.938 1.503
-8.838 -4.713 3.434
Au Zn Cd
7 2 3
Cartesian
-6.013 -5.221 3.534
-1.330 -2.270 -1.399
-1.400 -4.175 2.583
0.000 0.000 0.000
-4.004 -3.476 2.353
-4.373 -7.871 2.150
0.610 -2.430 1.402
-3.292 -5.818 3.696
-2.112 -1.833 1.241
-0.686 -4.671 -0.017
1.568 -2.714 -1.341
-5.016 -5.470 0.768

USn3Te6, relaxed, DFT GGA-PBE; SG = P2_1/m, No. 11; raw formation energy = -325 meV/atom
1.0
4.223 0.000 0.000
0.000 12.607 0.292
0.000 -3.938 12.523
Te U Sn
12 2 6
Cartesian
1.056 0.186 8.906
3.167 -0.511 5.781
3.167 7.377 9.499
3.167 8.482 3.910
1.056 -2.276 10.957
3.167 10.945 1.858
3.167 3.782 8.083
1.056 4.887 4.733
1.056 4.104 11.845
3.167 4.565 0.971
1.056 9.179 7.034
1.056 1.292 3.316
1.056 10.787 4.225
3.167 -2.119 8.591
1.056 6.374 2.041
1.056 7.272 11.527
3.167 2.294 10.775
3.167 6.381 6.177
3.167 1.396 1.289
1.056 2.287 6.638

| no. | V (Å³/cell) |
| --- | --- |
| 1 | 239.78 |
| 2 | 671.62 |